The following is a DFT calculation (GGA-PBE) of an optimized crystal structure of Ta2SbAu.

Calculated values
Spin magnetization = 0.00 μB/f.u.
Space-group type = No. 216
E_tot = -29.16 eV per cell

```
Ta2SbAu
1.0
-0.110 -4.787 -0.148
2.742 -2.363 -3.139
3.765 -2.531 1.539
Au Sb Ta
1 1 2
direct
0.500 0.500 0.500 Au
0.750 0.750 0.750 Sb
0.000 0.000 0.000 Ta
0.250 0.250 0.250 Ta
```

=====

The following is a DFT calculation (GGA-PBE) of an optimized crystal structure of BeS.

Calculated values
Distance to the lowest polymorph of the same formula = 0.0942 eV/atom
Spin magnetization = 0.00 μB/f.u.
Space-group type = No. 2
E_tot = -19.60 eV per cell

```
BeS
1.0
-2.547 0.620 -2.276
-0.120 -1.756 -2.994
-5.487 -3.993 2.494
Be S
2 2
direct
0.262 0.367 0.114 Be
0.738 0.633 0.886 Be
0.539 0.727 0.201 S
0.461 0.273 0.799 S
```

=====

The following is a DFT calculation (GGA-PBE) of an optimized crystal structure of LaSiAsCl2.

Calculated values
Spin magnetization = 0.00 μB/f.u.
Space-group type = No. 123
E_tot = -22.25 eV per cell

```
LaSiAsCl2
1.0
4.780 0.000 0.000
0.000 5.305 0.000
0.000 0.000 4.780
As Cl Si La
1 2 1 1
direct
0.000 0.500 0.000 As
0.000 0.000 0.500 Cl
0.500 0.000 0.000 Cl
0.000 0.000 0.000 Si
0.500 0.500 0.500 La
```

=====

E_form (uncorrected) / meV/atom: 486; -973; -711